! SrCeZnAg (GGA-PBE, optimized geometry); values from VASP
! Raw total energy (eV/atom): -3.0437
! Fermi-level density of states (states/eV/atom): 2.051
! Crystal system: cubic
&SYSTEM
  ibrav = 0, nat = 4, ntyp = 4
/
ATOMIC_SPECIES
Sr 87.62 Sr.upf
Ce 140.12 Ce.upf
Zn 65.41 Zn.upf
Ag 107.87 Ag.upf
CELL_PARAMETERS angstrom
0.000 3.795 3.795
3.795 0.000 3.795
3.795 3.795 0.000
ATOMIC_POSITIONS crystal
Sr 0.000 0.000 0.000
Ce 0.500 0.500 0.500
Zn 0.750 0.750 0.750
Ag 0.250 0.250 0.250

=====

! HfZrFeCo (GGA-PBE, optimized geometry); values from VASP
! Raw total energy (eV/atom): -8.8101
! Fermi-level density of states (states/eV/atom): 0.761
! Crystal system: cubic
&SYSTEM
  ibrav = 0, nat = 4, ntyp = 4
/
ATOMIC_SPECIES
Hf 178.49 Hf.upf
Zr 91.22 Zr.upf
Fe 55.84 Fe.upf
Co 58.93 Co.upf
CELL_PARAMETERS angstrom
0.000 3.172 3.172
3.172 0.000 3.172
3.172 3.172 0.000
ATOMIC_POSITIONS crystal
Hf 0.000 0.000 0.000
Zr 0.500 0.500 0.500
Fe 0.250 0.250 0.250
Co 0.750 0.750 0.750

=====

! Er3Ge5Rh6 (GGA-PBE, optimized geometry); values from VASP
! Raw total energy (eV/atom): -6.6648
! Fermi-level density of states (states/eV/atom): 0.394
! Crystal system: orthorhombic
&SYSTEM
  ibrav = 0, nat = 28, ntyp = 3
/
ATOMIC_SPECIES
Er 167.26 Er.upf
Ge 72.64 Ge.upf
Rh 102.91 Rh.upf
CELL_PARAMETERS angstrom
4.059 0.000 0.000
0.000 12.709 0.000
0.000 0.000 9.539
ATOMIC_POSITIONS crystal
Er 0.250 0.080 0.249
Er 0.250 0.420 0.249
Er 0.250 0.750 0.255
Er 0.750 0.250 0.745
Er 0.750 0.580 0.751
Er 0.750 0.920 0.751
Ge 0.250 0.082 0.851
Ge 0.250 0.418 0.851
Ge 0.250 0.632 0.522
Ge 0.250 0.750 0.856
Ge 0.250 0.868 0.522
Ge 0.750 0.132 0.478
Ge 0.750 0.250 0.144
Ge 0.750 0.368 0.478
Ge 0.750 0.582 0.149
Ge 0.750 0.918 0.149
Rh 0.250 0.050 0.597
Rh 0.250 0.250 0.482
Rh 0.250 0.250 0.990
Rh 0.250 0.450 0.597
Rh 0.250 0.584 0.001
Rh 0.250 0.916 0.001
Rh 0.750 0.084 0.999
Rh 0.750 0.416 0.999
Rh 0.750 0.550 0.403
Rh 0.750 0.750 0.010
Rh 0.750 0.750 0.518
Rh 0.750 0.950 0.403

=====

Number 2 is which compound?
HfZrFeCo

=====

The lowest Fermi-level density of states belongs to which entry?
Er3Ge5Rh6

=====

Please write out number 2 again, unchanged.
! HfZrFeCo (GGA-PBE, optimized geometry); values from VASP
! Raw total energy (eV/atom): -8.8101
! Fermi-level density of states (states/eV/atom): 0.761
! Crystal system: cubic
&SYSTEM
  ibrav = 0, nat = 4, ntyp = 4
/
ATOMIC_SPECIES
Hf 178.49 Hf.upf
Zr 91.22 Zr.upf
Fe 55.84 Fe.upf
Co 58.93 Co.upf
CELL_PARAMETERS angstrom
0.000 3.172 3.172
3.172 0.000 3.172
3.172 3.172 0.000
ATOMIC_POSITIONS crystal
Hf 0.000 0.000 0.000
Zr 0.500 0.500 0.500
Fe 0.250 0.250 0.250
Co 0.750 0.750 0.750